[1]
Below is an optimized crystal structure of YCr3Bi, with properties calculated at the PBE level.

Results
M_tot in μB per atom: 2.411
Total DFT energy (no corrections) in eV per atom: -6.6344
E_form in meV per atom: 1208.6
Symmetry: Pm-3m (221)
Energy above the most stable polymorph in this dataset in kcal/mol of atoms: 0.000

a = 5.2006 Å, b = 5.2006 Å, c = 5.2006 Å
α = 90.00°, β = 90.00°, γ = 90.00°
Sites, in units of the cell vectors:
1 Y 0.0000 0.0000 0.0000
2 Cr 0.0000 0.5000 0.5000
3 Cr 0.5000 0.0000 0.5000
4 Cr 0.5000 0.5000 0.0000
5 Bi 0.5000 0.5000 0.5000

***

[2]
Below is an optimized crystal structure of ZnCr3Bi, with properties calculated at the PBE level.

Results
M_tot in μB per atom: 2.207
Total DFT energy (no corrections) in eV per atom: -5.7762
E_form in meV per atom: 1028.8
Symmetry: Pm-3m (221)
Energy above the most stable polymorph in this dataset in kcal/mol of atoms: 0.000

a = 4.7332 Å, b = 4.7332 Å, c = 4.7332 Å
α = 90.00°, β = 90.00°, γ = 90.00°
Sites, in units of the cell vectors:
1 Zn 0.0000 0.0000 0.0000
2 Cr 0.0000 0.0000 0.5000
3 Cr 0.0000 0.5000 0.0000
4 Cr 0.5000 0.0000 0.0000
5 Bi 0.5000 0.5000 0.5000

***

[3]
Below is an optimized crystal structure of ZnCrBi3, with properties calculated at the PBE level.

Results
M_tot in μB per atom: 0.882
Total DFT energy (no corrections) in eV per atom: -3.7004
E_form in meV per atom: 807.6
Symmetry: Pm-3m (221)
Energy above the most stable polymorph in this dataset in kcal/mol of atoms: 6.063

a = 5.3818 Å, b = 5.3818 Å, c = 5.3818 Å
α = 90.00°, β = 90.00°, γ = 90.00°
Sites, in units of the cell vectors:
1 Zn 0.0000 0.0000 0.0000
2 Cr 0.5000 0.5000 0.5000
3 Bi 0.0000 0.0000 0.5000
4 Bi 0.0000 0.5000 0.0000
5 Bi 0.5000 0.0000 0.0000

***

[4]
Below is an optimized crystal structure of ZnCrBi3, with properties calculated at the PBE level.

Results
M_tot in μB per atom: 0.362
Total DFT energy (no corrections) in eV per atom: -3.9633
E_form in meV per atom: 544.7
Symmetry: Pm-3m (221)
Energy above the most stable polymorph in this dataset in kcal/mol of atoms: 0.000

a = 5.2560 Å, b = 5.2560 Å, c = 5.2560 Å
α = 90.00°, β = 90.00°, γ = 90.00°
Sites, in units of the cell vectors:
1 Zn 0.0000 0.0000 0.0000
2 Cr 0.5000 0.5000 0.5000
3 Bi 0.0000 0.5000 0.5000
4 Bi 0.5000 0.0000 0.5000
5 Bi 0.5000 0.5000 0.0000

***

[5]
Below is an optimized crystal structure of ZnCr3Bi, with properties calculated at the PBE level.

Results
M_tot in μB per atom: 2.962
Total DFT energy (no corrections) in eV per atom: -5.3760
E_form in meV per atom: 1429.1
Symmetry: Pm-3m (221)
Energy above the most stable polymorph in this dataset in kcal/mol of atoms: 9.230

a = 5.4347 Å, b = 5.4347 Å, c = 5.4347 Å
α = 90.00°, β = 90.00°, γ = 90.00°
Sites, in units of the cell vectors:
1 Zn 0.0000 0.0000 0.0000
2 Cr 0.0000 0.5000 0.5000
3 Cr 0.5000 0.0000 0.5000
4 Cr 0.5000 0.5000 0.0000
5 Bi 0.5000 0.5000 0.5000

***

[6]
Below is an optimized crystal structure of ZrCr3Bi, with properties calculated at the PBE level.

Results
M_tot in μB per atom: 1.948
Total DFT energy (no corrections) in eV per atom: -6.7832
E_form in meV per atom: 1476.6
Symmetry: Pm-3m (221)
Energy above the most stable polymorph in this dataset in kcal/mol of atoms: 0.000

a = 4.8865 Å, b = 4.8865 Å, c = 4.8865 Å
α = 90.00°, β = 90.00°, γ = 90.00°
Sites, in units of the cell vectors:
1 Zr 0.0000 0.0000 0.0000
2 Cr 0.0000 0.0000 0.5000
3 Cr 0.0000 0.5000 0.0000
4 Cr 0.5000 0.0000 0.0000
5 Bi 0.5000 0.5000 0.5000

***

Repeat the third record exactly.
Below is an optimized crystal structure of ZnCrBi3, with properties calculated at the PBE level.

Results
M_tot in μB per atom: 0.882
Total DFT energy (no corrections) in eV per atom: -3.7004
E_form in meV per atom: 807.6
Symmetry: Pm-3m (221)
Energy above the most stable polymorph in this dataset in kcal/mol of atoms: 6.063

a = 5.3818 Å, b = 5.3818 Å, c = 5.3818 Å
α = 90.00°, β = 90.00°, γ = 90.00°
Sites, in units of the cell vectors:
1 Zn 0.0000 0.0000 0.0000
2 Cr 0.5000 0.5000 0.5000
3 Bi 0.0000 0.0000 0.5000
4 Bi 0.0000 0.5000 0.0000
5 Bi 0.5000 0.0000 0.0000

***

Q: Which value of total DFT energy (no corrections) does entry 6 give?
A: -6.7832 eV per atom

***

Q: Look up the energy above the most stable polymorph in this dataset of the sixth one.
A: 0.000 kcal/mol of atoms

***

Copy entry 2 word for word.
Below is an optimized crystal structure of ZnCr3Bi, with properties calculated at the PBE level.

Results
M_tot in μB per atom: 2.207
Total DFT energy (no corrections) in eV per atom: -5.7762
E_form in meV per atom: 1028.8
Symmetry: Pm-3m (221)
Energy above the most stable polymorph in this dataset in kcal/mol of atoms: 0.000

a = 4.7332 Å, b = 4.7332 Å, c = 4.7332 Å
α = 90.00°, β = 90.00°, γ = 90.00°
Sites, in units of the cell vectors:
1 Zn 0.0000 0.0000 0.0000
2 Cr 0.0000 0.0000 0.5000
3 Cr 0.0000 0.5000 0.0000
4 Cr 0.5000 0.0000 0.0000
5 Bi 0.5000 0.5000 0.5000